KBa2MoO | Alexandria | PBE with a Hubbard U | optimized geometry; SG = P4/mmm; Fermi-level density of states = 2.82 states/eV/f.u.; energy = -3.824 eV/atom; magnetic moment = 5.2 μB per cell
1.0
5.5106 0.0000 0.0000
0.0000 5.5106 0.0000
0.0000 0.0000 5.7688
K Ba Mo O
1 2 1 1
Direct
0.0000 0.0000 0.0000 K
0.0000 0.5000 0.5000 Ba
0.5000 0.0000 0.5000 Ba
0.5000 0.5000 0.0000 Mo
0.0000 0.0000 0.5000 O